Density functional theory data (GGA-PBE) for a relaxed structure of SbPdPbAu.

Calculated values
energy relative to the elements, uncorrected: -0.07 eV per atom
Fermi-level density of states: 1.71 states/eV per cell

```
SbPdPbAu
1.0
-2.945 3.922 -0.928
-2.625 0.202 -4.240
-4.962 -0.524 0.110
Au Pb Pd Sb
1 1 1 1
Cartesian
0.000 0.000 0.000
-2.633 0.900 -1.264
-5.266 1.800 -2.529
-7.899 2.699 -3.793
```